The following is a PBE calculation of a relaxed Mg3Ga4Au2 crystal, from Alexandria via LeMat-Bulk.

Calculated values
**Formation enthalpy at 0 K**: -0.303 eV per atom

Cell lengths 10.007, 4.507, 8.365 Å; angles 90.00, 116.35, 90.00 degrees
Space group C2/m (No. 12)
Symmetry-distinct sites (fractional):
1 Mg 0.000 0.000 0.000 (multiplicity 2)
2 Mg 0.184 0.500 0.642 (multiplicity 4)
3 Ga 0.015 0.000 0.357 (multiplicity 4)
4 Ga 0.232 0.500 0.066 (multiplicity 4)
5 Au 0.094 0.500 0.267 (multiplicity 4)

***

The following is a PBE calculation of a relaxed Mg4GaAu2 crystal, from Alexandria via LeMat-Bulk.

Calculated values
**Formation enthalpy at 0 K**: -0.404 eV per atom

Cell lengths 4.6272, 4.6272, 22.6593 Å; angles 90.00, 90.00, 120.00 degrees
Space group R-3m (No. 166, hexagonal axes)
Symmetry-distinct sites (fractional):
1 Mg 0.0000 0.0000 0.1190 (multiplicity 6)
2 Mg 0.0000 0.0000 0.3708 (multiplicity 6)
3 Ga 0.0000 0.0000 0.5000 (multiplicity 3)
4 Au 0.0000 0.0000 0.2501 (multiplicity 6)